# 1
Entry from the Open Quantum Materials Database: a geometry-optimized HoScFe2Ge2C structure (PBE).

Raw total energy, eV/cell: -100.1

Geometry as CIF:
```
data_HoScFe2Ge2C
_chemical_formula_sum 'Ho2 Sc2 Fe4 Ge4 C2'
_cell_length_a 10.490
_cell_length_b 3.889
_cell_length_c 6.636
_cell_angle_alpha 90.00
_cell_angle_beta 128.19
_cell_angle_gamma 90.00
_space_group_name_H-M_alt 'P 1'
_space_group_IT_number 1
loop_
_space_group_symop_operation_xyz
'x,y,z'
loop_
_atom_site_label
_atom_site_fract_x
_atom_site_fract_y
_atom_site_fract_z
_atom_site_occupancy
Ho1 0.000 0.000 0.000 1
Ho2 0.500 0.500 0.000 1
Sc1 0.386 0.500 0.429 1
Sc2 0.886 0.000 0.429 1
Fe1 0.138 0.500 0.801 1
Fe2 0.243 0.000 0.619 1
Fe3 0.638 0.000 0.801 1
Fe4 0.743 0.500 0.619 1
Ge1 0.101 0.500 0.414 1
Ge2 0.283 0.000 0.014 1
Ge3 0.601 0.000 0.414 1
Ge4 0.783 0.500 0.014 1
C1 0.438 0.000 0.701 1
C2 0.938 0.500 0.701 1
```


# 2
Entry from the Open Quantum Materials Database: a geometry-optimized BaLaTeAuS2 structure (PBE).

Raw total energy, eV/cell: -61.1

Geometry as CIF:
```
data_BaLaTeAuS2
_chemical_formula_sum 'Ba2 La2 Te2 Au2 S4'
_cell_length_a 7.789
_cell_length_b 7.789
_cell_length_c 11.482
_cell_angle_alpha 90.00
_cell_angle_beta 90.00
_cell_angle_gamma 148.12
_space_group_name_H-M_alt 'P 1'
_space_group_IT_number 1
loop_
_space_group_symop_operation_xyz
'x,y,z'
loop_
_atom_site_label
_atom_site_fract_x
_atom_site_fract_y
_atom_site_fract_z
_atom_site_occupancy
Ba1 0.214 0.786 0.750 1
Ba2 0.786 0.214 0.250 1
La1 0.000 0.000 0.000 1
La2 0.000 0.000 0.500 1
Te1 0.102 0.898 0.250 1
Te2 0.898 0.102 0.750 1
Au1 0.481 0.519 0.250 1
Au2 0.519 0.481 0.750 1
S1 0.379 0.621 0.074 1
S2 0.379 0.621 0.426 1
S3 0.621 0.379 0.574 1
S4 0.621 0.379 0.926 1
```


# 3
Entry from the Open Quantum Materials Database: a geometry-optimized LaPmNd structure (PBE).

Energy of formation from the pure elements, eV per atom: 0.671
Raw total energy, eV/cell: -49.7

Geometry as CIF:
```
data_LaPmNd
_chemical_formula_sum 'La4 Pm4 Nd4'
_cell_length_a 7.897
_cell_length_b 7.897
_cell_length_c 7.897
_cell_angle_alpha 90.00
_cell_angle_beta 90.00
_cell_angle_gamma 90.00
_space_group_name_H-M_alt 'P 1'
_space_group_IT_number 1
loop_
_space_group_symop_operation_xyz
'x,y,z'
loop_
_atom_site_label
_atom_site_fract_x
_atom_site_fract_y
_atom_site_fract_z
_atom_site_occupancy
La1 0.000 0.000 0.000 1
La2 0.000 0.500 0.500 1
La3 0.500 0.000 0.500 1
La4 0.500 0.500 0.000 1
Pm1 0.250 0.250 0.250 1
Pm2 0.250 0.750 0.750 1
Pm3 0.750 0.250 0.750 1
Pm4 0.750 0.750 0.250 1
Nd1 0.000 0.000 0.500 1
Nd2 0.000 0.500 0.000 1
Nd3 0.500 0.000 0.000 1
Nd4 0.500 0.500 0.500 1
```


# 4
Entry from the Open Quantum Materials Database: a geometry-optimized LiSmTlCd structure (PBE).

Raw total energy, eV/cell: -44.9

Geometry as CIF:
```
data_LiSmTlCd
_chemical_formula_sum 'Li4 Sm4 Tl4 Cd4'
_cell_length_a 7.283
_cell_length_b 7.283
_cell_length_c 7.283
_cell_angle_alpha 90.00
_cell_angle_beta 90.00
_cell_angle_gamma 90.00
_space_group_name_H-M_alt 'P 1'
_space_group_IT_number 1
loop_
_space_group_symop_operation_xyz
'x,y,z'
loop_
_atom_site_label
_atom_site_fract_x
_atom_site_fract_y
_atom_site_fract_z
_atom_site_occupancy
Li1 0.000 0.000 0.000 1
Li2 0.000 0.500 0.500 1
Li3 0.500 0.000 0.500 1
Li4 0.500 0.500 0.000 1
Sm1 0.000 0.000 0.500 1
Sm2 0.000 0.500 0.000 1
Sm3 0.500 0.000 0.000 1
Sm4 0.500 0.500 0.500 1
Tl1 0.250 0.250 0.250 1
Tl2 0.250 0.750 0.750 1
Tl3 0.750 0.250 0.750 1
Tl4 0.750 0.750 0.250 1
Cd1 0.250 0.250 0.750 1
Cd2 0.250 0.750 0.250 1
Cd3 0.750 0.250 0.250 1
Cd4 0.750 0.750 0.750 1
```


# 5
Entry from the Open Quantum Materials Database: a geometry-optimized CuSiNiIr structure (PBE).

Raw total energy, eV/cell: -94.0

Geometry as CIF:
```
data_CuSiNiIr
_chemical_formula_sum 'Cu4 Si4 Ni4 Ir4'
_cell_length_a 5.835
_cell_length_b 5.835
_cell_length_c 5.835
_cell_angle_alpha 90.00
_cell_angle_beta 90.00
_cell_angle_gamma 90.00
_space_group_name_H-M_alt 'P 1'
_space_group_IT_number 1
loop_
_space_group_symop_operation_xyz
'x,y,z'
loop_
_atom_site_label
_atom_site_fract_x
_atom_site_fract_y
_atom_site_fract_z
_atom_site_occupancy
Cu1 0.000 0.000 0.000 1
Cu2 0.000 0.500 0.500 1
Cu3 0.500 0.000 0.500 1
Cu4 0.500 0.500 0.000 1
Si1 0.250 0.250 0.750 1
Si2 0.250 0.750 0.250 1
Si3 0.750 0.250 0.250 1
Si4 0.750 0.750 0.750 1
Ni1 0.000 0.000 0.500 1
Ni2 0.000 0.500 0.000 1
Ni3 0.500 0.000 0.000 1
Ni4 0.500 0.500 0.500 1
Ir1 0.250 0.250 0.250 1
Ir2 0.250 0.750 0.750 1
Ir3 0.750 0.250 0.750 1
Ir4 0.750 0.750 0.250 1
```


# 6
Entry from the Open Quantum Materials Database: a geometry-optimized Y2ZrN3 structure (PBE).

Raw total energy, eV/cell: -56.7

Geometry as CIF:
```
data_Y2ZrN3
_chemical_formula_sum 'Y2 Zr1 N3'
_cell_length_a 3.371
_cell_length_b 3.371
_cell_length_c 8.328
_cell_angle_alpha 90.00
_cell_angle_beta 90.00
_cell_angle_gamma 120.00
_space_group_name_H-M_alt 'P 1'
_space_group_IT_number 1
loop_
_space_group_symop_operation_xyz
'x,y,z'
loop_
_atom_site_label
_atom_site_fract_x
_atom_site_fract_y
_atom_site_fract_z
_atom_site_occupancy
Y1 0.333 0.667 0.331 1
Y2 0.667 0.333 0.669 1
Zr1 0.000 0.000 0.000 1
N1 0.000 0.000 0.500 1
N2 0.333 0.667 0.847 1
N3 0.667 0.333 0.153 1
```


# 7
Entry from the Open Quantum Materials Database: a geometry-optimized TbCoTc3 structure (PBE).

Energy of formation from the pure elements, eV per atom: 0.639
Raw total energy, eV/cell: -79.2

Geometry as CIF:
```
data_TbCoTc3
_chemical_formula_sum 'Tb2 Co2 Tc6'
_cell_length_a 5.427
_cell_length_b 5.427
_cell_length_c 5.427
_cell_angle_alpha 89.71
_cell_angle_beta 89.71
_cell_angle_gamma 89.71
_space_group_name_H-M_alt 'P 1'
_space_group_IT_number 1
loop_
_space_group_symop_operation_xyz
'x,y,z'
loop_
_atom_site_label
_atom_site_fract_x
_atom_site_fract_y
_atom_site_fract_z
_atom_site_occupancy
Tb1 0.000 0.000 0.000 1
Tb2 0.500 0.500 0.500 1
Co1 0.250 0.250 0.250 1
Co2 0.750 0.750 0.750 1
Tc1 0.062 0.750 0.438 1
Tc2 0.250 0.562 0.938 1
Tc3 0.438 0.062 0.750 1
Tc4 0.562 0.938 0.250 1
Tc5 0.750 0.438 0.062 1
Tc6 0.938 0.250 0.562 1
```


# 8
Entry from the Open Quantum Materials Database: a geometry-optimized Sm4I4N3 structure (PBE).

Raw total energy, eV/cell: -64.4

Geometry as CIF:
```
data_Sm4I4N3
_chemical_formula_sum 'Sm4 I4 N3'
_cell_length_a 3.969
_cell_length_b 7.911
_cell_length_c 9.631
_cell_angle_alpha 90.00
_cell_angle_beta 90.00
_cell_angle_gamma 90.00
_space_group_name_H-M_alt 'P 1'
_space_group_IT_number 1
loop_
_space_group_symop_operation_xyz
'x,y,z'
loop_
_atom_site_label
_atom_site_fract_x
_atom_site_fract_y
_atom_site_fract_z
_atom_site_occupancy
Sm1 0.000 0.000 0.000 1
Sm2 0.000 0.500 0.050 1
Sm3 0.500 0.240 0.760 1
Sm4 0.500 0.760 0.760 1
I1 0.000 0.000 0.552 1
I2 0.000 0.500 0.569 1
I3 0.500 0.249 0.217 1
I4 0.500 0.751 0.217 1
N1 0.000 0.289 0.891 1
N2 0.000 0.711 0.891 1
N3 0.500 0.000 0.879 1
```